Model i:
DFT (PBE) results for a relaxed structure of K3Bi4Pb2.

Properties
Total moment in μB per atom: 0.000

Lattice parameters (Å, degrees): 10.404 10.404 6.821 92.27 92.27 70.79
Positions (direct):
K (0.069, 0.931, 0.750)
K (0.292, 0.492, 0.874)
K (0.492, 0.292, 0.374)
K (0.508, 0.708, 0.626)
K (0.708, 0.508, 0.126)
K (0.931, 0.069, 0.250)
Bi (0.038, 0.332, 0.918)
Bi (0.202, 0.632, 0.383)
Bi (0.332, 0.038, 0.418)
Bi (0.368, 0.798, 0.117)
Bi (0.632, 0.202, 0.883)
Bi (0.668, 0.962, 0.582)
Bi (0.798, 0.368, 0.617)
Bi (0.962, 0.668, 0.082)
Pb (0.097, 0.346, 0.447)
Pb (0.346, 0.097, 0.947)
Pb (0.654, 0.903, 0.053)
Pb (0.903, 0.654, 0.553)

***

Model ii:
DFT (PBE) results for a relaxed structure of K3Bi4Pb2.

Properties
Total moment in μB per atom: 0.000

Lattice parameters (Å, degrees): 7.254 7.254 10.525 106.23 106.23 43.68
Positions (direct):
K (0.000, 0.000, 0.000)
K (0.385, 0.385, 0.301)
K (0.615, 0.615, 0.699)
Bi (0.086, 0.086, 0.418)
Bi (0.272, 0.272, 0.936)
Bi (0.728, 0.728, 0.064)
Bi (0.914, 0.914, 0.582)
Pb (0.309, 0.309, 0.648)
Pb (0.691, 0.691, 0.352)

***

Least stable: model i